PBE-GGA V3SiP, optimized geometry; space-group type = Pm-3m (221); excess energy over the best structure of this formula in the dataset = 0.625 eV per atom; energy = -36.88 eV per cell; theoretical density = 4.4 g cm⁻³; uncorrected formation energy = 0.26 eV/atom
1.0
4.2965 0.0000 0.0000
0.0000 4.2965 0.0000
0.0000 0.0000 4.2965
P Si V
1 1 3
direct
0.0000 0.0000 0.0000 P
0.5000 0.5000 0.5000 Si
0.0000 0.5000 0.0000 V
0.0000 0.0000 0.5000 V
0.5000 0.0000 0.0000 V